No. 1
# Sc2ZnBi

A geometry-optimized Sc2ZnBi structure (PBE-GGA, Alexandria via LeMat-Bulk).

Output
Distance to the lowest polymorph of the same formula ... 9 meV/atom
Energy relative to the elements ... -0.363 eV/atom
V ... 22.08 Å³/atom

Unit cell a=4.582 b=4.582 c=4.206 alpha=90.00 beta=90.00 gamma=90.00
Fractional positions:
Sc: 0.000 0.500 0.000
Sc: 0.500 0.000 0.000
Zn: 0.000 0.000 0.500
Bi: 0.500 0.500 0.500

***

No. 2
# PaNbW

A geometry-optimized PaNbW structure (PBE-GGA, Alexandria via LeMat-Bulk).

Output
Distance to the lowest polymorph of the same formula ... 333 meV/atom
Energy relative to the elements ... 0.544 eV/atom
V ... 21.18 Å³/atom

Unit cell a=6.533 b=6.533 c=6.533 alpha=45.04 beta=45.04 gamma=45.04
Fractional positions:
Pa: 0.114 0.114 0.114
Pa: 0.886 0.886 0.886
Nb: 0.424 0.424 0.424
Nb: 0.576 0.576 0.576
W: 0.275 0.275 0.275
W: 0.725 0.725 0.725

***

No. 3
# Ti2VRePb

A geometry-optimized Ti2VRePb structure (PBE-GGA, Alexandria via LeMat-Bulk).

Output
Energy relative to the elements ... 1.266 eV/atom
V ... 19.65 Å³/atom

Unit cell a=4.415 b=4.415 c=5.040 alpha=90.00 beta=90.00 gamma=90.00
Fractional positions:
Ti: 0.000 0.500 0.000
Ti: 0.500 0.000 0.000
V: 0.000 0.000 0.000
Re: 0.500 0.500 0.500
Pb: 0.000 0.000 0.500

***

no.,mass density (g cm⁻³),N(E_F) (states/eV per atom)
1,6.85,0.66
2,13.27,1.36
3,9.13,1.12